Record 1
Material: Ta2ReHSe
Method: DFT, PBE
State: optimized geometry

Values from the calculation:
Final energy (eV for the cell shown): -40.6
Mass density (g/cm³): 14.6
Density of states at the Fermi level (states/eV/cell): 4.267

a = 4.0058 Å, b = 4.0058 Å, c = 4.4645 Å
α = 90.00°, β = 90.00°, γ = 90.00°
Last column: nearest neighbours and their distance in Å.
Atoms (fractional coordinates):
1 Ta 0.0000 0.5000 0.0000  2 H 2.00
2 Ta 0.5000 0.0000 0.0000  2 H 2.00
3 Re 0.0000 0.0000 0.5000  4 Se 2.83, 8 Ta 3.00
4 H 0.5000 0.5000 0.0000  4 Ta 2.00, 2 Se 2.23
5 Se 0.5000 0.5000 0.5000  2 H 2.23

Record 2
Material: KCoW4
Method: DFT, PBE
State: optimized geometry

Values from the calculation:
Final energy (eV for the cell shown): -51.9
Mass density (g/cm³): 12.4
Density of states at the Fermi level (states/eV/cell): 5.180

a = 5.4018 Å, b = 5.4018 Å, c = 5.4018 Å
α = 60.00°, β = 60.00°, γ = 60.00°
Last column: nearest neighbours and their distance in Å.
Atoms (fractional coordinates):
1 K 0.0000 0.0000 0.0000  12 W 3.17, 4 Co 3.31
2 Co 0.2500 0.2500 0.2500  12 W 3.17, 4 K 3.31
3 W 0.1225 0.6258 0.6258  6 W 2.68-2.72
4 W 0.6258 0.1225 0.6258  6 W 2.68-2.72
5 W 0.6258 0.6258 0.1225  6 W 2.68-2.72
6 W 0.6258 0.6258 0.6258  6 W 2.68-2.72

Record 3
Material: BeCr3W
Method: DFT, PBE
State: optimized geometry

Values from the calculation:
Final energy (eV for the cell shown): -36.3
Mass density (g/cm³): 5.8
Density of states at the Fermi level (states/eV/cell): 3.044

a = 4.6425 Å, b = 4.6425 Å, c = 4.6425 Å
α = 90.00°, β = 90.00°, γ = 90.00°
Last column: nearest neighbours and their distance in Å.
Atoms (fractional coordinates):
1 Be 0.0000 0.0000 0.0000  12 Cr 3.28
2 Cr 0.0000 0.5000 0.5000  2 W 2.32
3 Cr 0.5000 0.0000 0.5000  2 W 2.32
4 Cr 0.5000 0.5000 0.0000  2 W 2.32
5 W 0.5000 0.5000 0.5000  6 Cr 2.32

Record 4
Material: Eu3As5Se12
Method: DFT, PBE
State: optimized geometry

Values from the calculation:
Final energy (eV for the cell shown): -432.4
Mass density (g/cm³): 5.3
Density of states at the Fermi level (states/eV/cell): 158.553
Energy relative to the elements, uncorrected (eV per atom): -0.61

a = 14.2650 Å, b = 14.2650 Å, c = 14.2650 Å
α = 109.47°, β = 109.47°, γ = 109.47°
Last column: nearest neighbours and their distance in Å.
Atoms (fractional coordinates):
1 Eu 0.1250 0.2500 0.3750  8 Se 3.11-3.21
2 Eu 0.1250 0.3750 0.7500  8 Se 3.11-3.21
3 Eu 0.2500 0.3750 0.1250  8 Se 3.11-3.21
4 Eu 0.2500 0.8750 0.6250  8 Se 3.11-3.21
5 Eu 0.3750 0.1250 0.2500  8 Se 3.11-3.21
6 Eu 0.3750 0.7500 0.1250  8 Se 3.11-3.21
7 Eu 0.6250 0.2500 0.8750  8 Se 3.11-3.21
8 Eu 0.6250 0.8750 0.7500  8 Se 3.11-3.21
9 Eu 0.7500 0.1250 0.3750  8 Se 3.11-3.21
10 Eu 0.7500 0.6250 0.8750  8 Se 3.11-3.21
11 Eu 0.8750 0.6250 0.2500  8 Se 3.11-3.21
12 Eu 0.8750 0.7500 0.6250  8 Se 3.11-3.21
13 As 0.0000 0.0000 0.0000  6 Se 2.68
14 As 0.0000 0.0000 0.5000  6 Se 2.68
15 As 0.0000 0.5000 0.0000  6 Se 2.68
16 As 0.0000 0.5000 0.5000  6 Se 2.68
17 As 0.1250 0.7500 0.8750  4 Se 2.53
18 As 0.1250 0.8750 0.2500  4 Se 2.53
19 As 0.2500 0.1250 0.8750  4 Se 2.53
20 As 0.2500 0.6250 0.3750  4 Se 2.53
21 As 0.3750 0.2500 0.6250  4 Se 2.53
22 As 0.3750 0.6250 0.7500  4 Se 2.53
23 As 0.5000 0.0000 0.0000  6 Se 2.68
24 As 0.5000 0.0000 0.5000  6 Se 2.68
25 As 0.5000 0.5000 0.0000  6 Se 2.68
26 As 0.5000 0.5000 0.5000  6 Se 2.68
27 As 0.6250 0.3750 0.2500  4 Se 2.53
28 As 0.6250 0.7500 0.3750  4 Se 2.53
29 As 0.7500 0.3750 0.6250  4 Se 2.53
30 As 0.7500 0.8750 0.1250  4 Se 2.53
31 As 0.8750 0.1250 0.7500  4 Se 2.53
32 As 0.8750 0.2500 0.1250  4 Se 2.53
33 Se 0.0339 0.2083 0.1255  2 As 2.53-2.68
34 Se 0.0339 0.3256 0.9084  2 As 2.53-2.68
35 Se 0.0828 0.7083 0.6744  2 As 2.53-2.68
36 Se 0.0828 0.8745 0.4084  2 As 2.53-2.68
37 Se 0.0916 0.6255 0.4172  2 As 2.53-2.68
38 Se 0.0916 0.9661 0.6744  2 As 2.53-2.68
39 Se 0.1255 0.0339 0.2083  2 As 2.53-2.68
40 Se 0.1255 0.5916 0.9172  2 As 2.53-2.68
41 Se 0.1744 0.2083 0.5828  2 As 2.53-2.68
42 Se 0.1744 0.4661 0.5916  2 As 2.53-2.68
43 Se 0.2083 0.1255 0.0339  2 As 2.53-2.68
44 Se 0.2083 0.5828 0.1744  2 As 2.53-2.68
45 Se 0.2917 0.3256 0.9172  2 As 2.53-2.68
46 Se 0.2917 0.4661 0.3745  2 As 2.53-2.68
47 Se 0.3256 0.9084 0.0339  2 As 2.53-2.68
48 Se 0.3256 0.9172 0.2917  2 As 2.53-2.68
49 Se 0.3745 0.2917 0.4661  2 As 2.53-2.68
50 Se 0.3745 0.5828 0.9084  2 As 2.53-2.68
51 Se 0.4084 0.0828 0.8745  2 As 2.53-2.68
52 Se 0.4084 0.8256 0.5339  2 As 2.53-2.68
53 Se 0.4172 0.0916 0.6255  2 As 2.53-2.68
54 Se 0.4172 0.8256 0.7917  2 As 2.53-2.68
55 Se 0.4661 0.3745 0.2917  2 As 2.53-2.68
56 Se 0.4661 0.5916 0.1744  2 As 2.53-2.68
57 Se 0.5339 0.4084 0.8256  2 As 2.53-2.68
58 Se 0.5339 0.6255 0.7083  2 As 2.53-2.68
59 Se 0.5828 0.1744 0.2083  2 As 2.53-2.68
60 Se 0.5828 0.9084 0.3745  2 As 2.53-2.68
61 Se 0.5916 0.1744 0.4661  2 As 2.53-2.68
62 Se 0.5916 0.9172 0.1255  2 As 2.53-2.68
63 Se 0.6255 0.4172 0.0916  2 As 2.53-2.68
64 Se 0.6255 0.7083 0.5339  2 As 2.53-2.68
65 Se 0.6744 0.0828 0.7083  2 As 2.53-2.68
66 Se 0.6744 0.0916 0.9661  2 As 2.53-2.68
67 Se 0.7083 0.5339 0.6255  2 As 2.53-2.68
68 Se 0.7083 0.6744 0.0828  2 As 2.53-2.68
69 Se 0.7917 0.4172 0.8256  2 As 2.53-2.68
70 Se 0.7917 0.8745 0.9661  2 As 2.53-2.68
71 Se 0.8256 0.5339 0.4084  2 As 2.53-2.68
72 Se 0.8256 0.7917 0.4172  2 As 2.53-2.68
73 Se 0.8745 0.4084 0.0828  2 As 2.53-2.68
74 Se 0.8745 0.9661 0.7917  2 As 2.53-2.68
75 Se 0.9084 0.0339 0.3256  2 As 2.53-2.68
76 Se 0.9084 0.3745 0.5828  2 As 2.53-2.68
77 Se 0.9172 0.1255 0.5916  2 As 2.53-2.68
78 Se 0.9172 0.2917 0.3256  2 As 2.53-2.68
79 Se 0.9661 0.6744 0.0916  2 As 2.53-2.68
80 Se 0.9661 0.7917 0.8745  2 As 2.53-2.68

Record 5
Material: Tl2BAs
Method: DFT, PBE
State: optimized geometry

Values from the calculation:
Final energy (eV for the cell shown): -47.1
Mass density (g/cm³): 9.1
Density of states at the Fermi level (states/eV/cell): 10.420

a = 7.1232 Å, b = 7.1232 Å, c = 7.1232 Å
α = 90.00°, β = 90.00°, γ = 90.00°
Last column: nearest neighbours and their distance in Å.
Atoms (fractional coordinates):
1 Tl 0.2500 0.2500 0.2500  4 As 3.08, 4 B 3.08
2 Tl 0.2500 0.2500 0.7500  4 As 3.08, 4 B 3.08
3 Tl 0.2500 0.7500 0.2500  4 As 3.08, 4 B 3.08
4 Tl 0.2500 0.7500 0.7500  4 As 3.08, 4 B 3.08
5 Tl 0.7500 0.2500 0.2500  4 As 3.08, 4 B 3.08
6 Tl 0.7500 0.2500 0.7500  4 As 3.08, 4 B 3.08
7 Tl 0.7500 0.7500 0.2500  4 As 3.08, 4 B 3.08
8 Tl 0.7500 0.7500 0.7500  4 As 3.08, 4 B 3.08
9 B 0.0000 0.0000 0.0000  8 Tl 3.08
10 B 0.0000 0.5000 0.5000  8 Tl 3.08
11 B 0.5000 0.0000 0.5000  8 Tl 3.08
12 B 0.5000 0.5000 0.0000  8 Tl 3.08
13 As 0.0000 0.0000 0.5000  8 Tl 3.08
14 As 0.0000 0.5000 0.0000  8 Tl 3.08
15 As 0.5000 0.0000 0.0000  8 Tl 3.08
16 As 0.5000 0.5000 0.5000  8 Tl 3.08

Record 6
Material: TaHgCl2
Method: DFT, PBE
State: optimized geometry

Values from the calculation:
Final energy (eV for the cell shown): -28.0
Mass density (g/cm³): 9.3
Density of states at the Fermi level (states/eV/cell): 5.417
Energy relative to the elements, uncorrected (eV per atom): 0.46

a = 6.0342 Å, b = 8.6280 Å, c = 3.1072 Å
α = 90.00°, β = 90.00°, γ = 90.00°
Last column: nearest neighbours and their distance in Å.
Atoms (fractional coordinates):
1 Ta 0.0000 0.0000 0.0000  2 Hg 3.02, 8 Cl 3.06, 2 Ta 3.11
2 Ta 0.5000 0.5000 0.0000  2 Hg 3.02, 8 Cl 3.06, 2 Ta 3.11
3 Hg 0.0000 0.5000 0.0000  2 Ta 3.02, 8 Cl 3.06, 2 Hg 3.11
4 Hg 0.5000 0.0000 0.0000  2 Ta 3.02, 8 Cl 3.06, 2 Hg 3.11
5 Cl 0.2500 0.2500 0.5000  4 Cl 3.02-3.11, 4 Hg 3.06, 4 Ta 3.06
6 Cl 0.2500 0.7500 0.5000  4 Cl 3.02-3.11, 4 Hg 3.06, 4 Ta 3.06
7 Cl 0.7500 0.2500 0.5000  4 Cl 3.02-3.11, 4 Hg 3.06, 4 Ta 3.06
8 Cl 0.7500 0.7500 0.5000  4 Cl 3.02-3.11, 4 Hg 3.06, 4 Ta 3.06